KEuAgSb | GGA-PBE | optimized geometry

The structure in CIF format:
```
data_KEuAgSb
_cell_length_a 7.876
_cell_length_b 7.876
_cell_length_c 7.876
_cell_angle_alpha 90.00
_cell_angle_beta 90.00
_cell_angle_gamma 90.00
_space_group_name_H-M_alt 'F -4 3 m'
_space_group_IT_number 216
_space_group_name_Hall 'F -4 2 3'
loop_
_atom_site_label
_atom_site_fract_x
_atom_site_fract_y
_atom_site_fract_z
K1 0.000 0.000 0.000
Eu1 0.000 0.000 0.500
Ag1 0.250 0.250 0.750
Sb1 0.250 0.250 0.250
```

Properties
total magnetization = 1.73 μB per atom
formation energy without anion corrections = -0.383 eV per atom
VASP energy = -19.88 eV per formula unit